Here is CsAs2I7 after structural relaxation from Alexandria via LeMat-Bulk. Energies are from GGA-PBE.

Cell lengths 10.165, 10.165, 5.585 Å; angles 90.00, 90.00, 124.84 degrees
Element x y z (fractional)
Cs (0.000, 0.000, 0.000)
As (0.217, 0.783, 0.500)
As (0.783, 0.217, 0.500)
I (0.093, 0.339, 0.500)
I (0.259, 0.741, 0.000)
I (0.339, 0.093, 0.500)
I (0.500, 0.500, 0.500)
I (0.661, 0.907, 0.500)
I (0.741, 0.259, 0.000)
I (0.907, 0.661, 0.500)

Results
* formation energy without anion corrections: -0.398 eV per atom
* raw total energy: -2.50 eV per atom

Here is CsAsI3 after structural relaxation from Alexandria via LeMat-Bulk. Energies are from GGA-PBE.

Cell lengths 8.714, 5.987, 9.075 Å; angles 90.00, 90.00, 90.00 degrees
Element x y z (fractional)
Cs (0.250, 0.000, 0.205)
Cs (0.750, 0.000, 0.795)
As (0.250, 0.500, 0.775)
As (0.750, 0.500, 0.225)
I (0.000, 0.500, 0.000)
I (0.250, 0.000, 0.776)
I (0.250, 0.500, 0.477)
I (0.500, 0.500, 0.000)
I (0.750, 0.000, 0.224)
I (0.750, 0.500, 0.523)

Results
* formation energy without anion corrections: -0.593 eV per atom
* polymorph energy (0 for the lowest one): 11.5 kJ per mole of atoms
* raw total energy: -2.62 eV per atom

Here is Cs2As2I7 after structural relaxation from Alexandria via LeMat-Bulk. Energies are from GGA-PBE.

Cell lengths 10.987, 10.987, 5.466 Å; angles 94.68, 94.68, 117.14 degrees
Element x y z (fractional)
Cs (0.214, 0.786, 0.000)
Cs (0.786, 0.214, 0.000)
As (0.269, 0.269, 0.623)
As (0.731, 0.731, 0.377)
I (0.102, 0.409, 0.657)
I (0.143, 0.143, 0.182)
I (0.409, 0.102, 0.657)
I (0.500, 0.500, 0.500)
I (0.591, 0.898, 0.343)
I (0.857, 0.857, 0.818)
I (0.898, 0.591, 0.343)

Results
* formation energy without anion corrections: -0.593 eV per atom
* raw total energy: -2.58 eV per atom

Here is CsAsI3 after structural relaxation from Alexandria via LeMat-Bulk. Energies are from GGA-PBE.

Cell lengths 7.342, 7.767, 9.347 Å; angles 107.51, 92.04, 91.12 degrees
Element x y z (fractional)
Cs (0.000, 0.000, 0.000)
Cs (0.473, 0.438, 0.801)
As (0.302, 0.701, 0.426)
As (0.965, 0.645, 0.359)
I (0.403, 0.364, 0.328)
I (0.420, 0.820, 0.207)
I (0.494, 0.963, 0.863)
I (0.952, 0.004, 0.454)
I (0.962, 0.509, 0.030)
I (0.979, 0.559, 0.631)

Results
* formation energy without anion corrections: -0.699 eV per atom
* polymorph energy (0 for the lowest one): 1.2 kJ per mole of atoms
* raw total energy: -2.73 eV per atom

The highest raw total energy belongs to which entry?
CsAs2I7